! Tb4SmTl (PBE-GGA, optimized geometry); values from VASP
! ΔE_f, meV per atom: 26
! Spin magnetization, μB per formula unit: 0.0
! N(E_F), states/eV per cell: 16.7
! Polymorph energy (0 for the lowest one), meV/atom: 131
! SG: Cmc2_1, No. 36
&SYSTEM
  ibrav = 0, nat = 12, ntyp = 3
/
ATOMIC_SPECIES
Tb 158.93 Tb.upf
Sm 150.36 Sm.upf
Tl 204.38 Tl.upf
ATOMIC_POSITIONS crystal
Tb 0.040 0.960 0.500
Tb 0.183 0.817 0.677
Tb 0.246 0.754 0.202
Tb 0.363 0.637 0.831
Tb 0.637 0.363 0.331
Tb 0.754 0.246 0.702
Tb 0.817 0.183 0.177
Tb 0.960 0.040 0.000
Sm 0.436 0.564 0.324
Sm 0.564 0.436 0.824
Tl 0.104 0.896 0.074
Tl 0.896 0.104 0.574
CELL_PARAMETERS angstrom
2.798 -10.594 0.000
2.798 10.594 0.000
0.000 0.000 6.544

=====

! Tb4SmTl3 (PBE-GGA, optimized geometry); values from VASP
! ΔE_f, meV per atom: -149
! Spin magnetization, μB per formula unit: 0.9
! N(E_F), states/eV per cell: 8.9
! SG: Immm, No. 71
&SYSTEM
  ibrav = 0, nat = 8, ntyp = 3
/
ATOMIC_SPECIES
Tb 158.93 Tb.upf
Sm 150.36 Sm.upf
Tl 204.38 Tl.upf
ATOMIC_POSITIONS crystal
Tb 0.060 0.862 0.198
Tb 0.336 0.138 0.198
Tb 0.664 0.862 0.802
Tb 0.940 0.138 0.802
Sm 0.500 0.000 0.500
Tl 0.000 0.500 0.500
Tl 0.314 0.314 0.000
Tl 0.686 0.686 0.000
CELL_PARAMETERS angstrom
-1.797 4.420 7.576
1.797 -4.420 7.576
1.797 4.420 -7.576

=====

! Tb5Sm3Tl (PBE-GGA, optimized geometry); values from VASP
! ΔE_f, meV per atom: 396
! Spin magnetization, μB per formula unit: 0.0
! N(E_F), states/eV per cell: 26.9
! SG: C2/m, No. 12
&SYSTEM
  ibrav = 0, nat = 18, ntyp = 3
/
ATOMIC_SPECIES
Tb 158.93 Tb.upf
Sm 150.36 Sm.upf
Tl 204.38 Tl.upf
ATOMIC_POSITIONS crystal
Tb 0.014 0.014 0.240
Tb 0.125 0.620 0.366
Tb 0.178 0.178 0.000
Tb 0.245 0.755 0.000
Tb 0.380 0.875 0.634
Tb 0.620 0.125 0.366
Tb 0.755 0.245 0.000
Tb 0.822 0.822 0.000
Tb 0.875 0.380 0.634
Tb 0.986 0.986 0.760
Sm 0.165 0.165 0.489
Sm 0.326 0.326 0.750
Sm 0.500 0.500 0.000
Sm 0.500 0.500 0.500
Sm 0.674 0.674 0.250
Sm 0.835 0.835 0.511
Tl 0.341 0.341 0.239
Tl 0.659 0.659 0.761
CELL_PARAMETERS angstrom
4.943 -5.792 0.000
4.943 5.792 0.000
-0.102 0.000 11.359